P:
Below is a relaxed Mg8Cd2Pb crystal, with properties calculated at the GGA-PBE level.

Properties
Space-group type ... C2/m
Total magnetic moment ... 0.00 μB per cell

Structure (POSCAR):
```
Mg8Cd2Pb
1.0
4.012 -6.650 0.000
4.012 6.650 0.000
-1.967 0.000 4.964
Mg Cd Pb
8 2 1
direct
0.093 0.324 0.628
0.227 0.773 0.000
0.324 0.093 0.628
0.405 0.405 0.200
0.595 0.595 0.800
0.676 0.907 0.372
0.773 0.227 0.000
0.907 0.676 0.372
0.304 0.696 0.500
0.696 0.304 0.500
0.000 0.000 0.000
```

---

Q:
Below is a relaxed Mg8Cd2Pb crystal, with properties calculated at the GGA-PBE level.

Properties
Space-group type ... P1
Total magnetic moment ... 0.00 μB per cell

Structure (POSCAR):
```
Mg8Cd2Pb
1.0
4.876 0.000 0.000
0.002 7.348 0.000
2.294 3.664 7.166
Mg Cd Pb
8 2 1
direct
0.000 0.000 0.000
0.038 0.496 0.915
0.204 0.356 0.590
0.370 0.820 0.268
0.408 0.405 0.183
0.575 0.856 0.857
0.704 0.650 0.591
0.831 0.121 0.329
0.546 0.243 0.904
0.863 0.559 0.275
0.203 0.937 0.592
```

---

Computed relative energies in units of eV/atom: P 0.032; Q 0.000

---

P:
Below is a relaxed Mg7CdPb4 crystal, with properties calculated at the GGA-PBE level.

Properties
Space-group type ... C2/m
Total magnetic moment ... 0.00 μB per cell

Structure (POSCAR):
```
Mg7CdPb4
1.0
5.948 -2.810 0.000
5.948 2.810 0.000
-5.892 0.000 9.648
Mg Cd Pb
7 1 4
direct
0.000 0.000 0.000
0.167 0.167 0.625
0.223 0.223 0.921
0.382 0.382 0.542
0.618 0.618 0.458
0.777 0.777 0.079
0.833 0.833 0.375
0.500 0.500 0.000
0.076 0.076 0.308
0.323 0.323 0.233
0.677 0.677 0.767
0.924 0.924 0.692
```

---

Q:
Below is a relaxed Mg7CdPb4 crystal, with properties calculated at the GGA-PBE level.

Properties
Space-group type ... P-3m1
Total magnetic moment ... 0.00 μB per cell

Structure (POSCAR):
```
Mg7CdPb4
1.0
5.130 0.000 0.000
-2.565 4.443 0.000
0.000 0.000 13.247
Mg Cd Pb
7 1 4
direct
0.000 0.000 0.000
0.000 0.000 0.255
0.000 0.000 0.745
0.333 0.667 0.169
0.333 0.667 0.419
0.667 0.333 0.581
0.667 0.333 0.831
0.000 0.000 0.500
0.333 0.667 0.663
0.333 0.667 0.917
0.667 0.333 0.083
0.667 0.333 0.337
```

---

Computed relative energies in units of eV/atom: P 0.068; Q 0.000

---

P:
Below is a relaxed Mg5CdPb crystal, with properties calculated at the GGA-PBE level.

Properties
Space-group type ... P4/mmm
Total magnetic moment ... 0.00 μB per cell

Structure (POSCAR):
```
Mg5CdPb
1.0
4.737 0.000 0.000
0.000 4.737 0.000
0.000 0.000 7.777
Mg Cd Pb
5 1 1
direct
0.000 0.000 0.000
0.000 0.500 0.286
0.000 0.500 0.714
0.500 0.000 0.286
0.500 0.000 0.714
0.500 0.500 0.500
0.500 0.500 0.000
```

---

Q:
Below is a relaxed Mg5CdPb crystal, with properties calculated at the GGA-PBE level.

Properties
Space-group type ... C2/c
Total magnetic moment ... 0.00 μB per cell

Structure (POSCAR):
```
Mg5CdPb
1.0
5.254 -5.164 0.000
5.254 5.164 0.000
-3.412 0.000 6.464
Mg Cd Pb
10 2 2
direct
0.079 0.921 0.750
0.174 0.347 0.124
0.320 0.591 0.923
0.347 0.174 0.624
0.409 0.680 0.577
0.591 0.320 0.423
0.653 0.826 0.376
0.680 0.409 0.077
0.826 0.653 0.876
0.921 0.079 0.250
0.190 0.810 0.250
0.810 0.190 0.750
0.000 0.500 0.500
0.500 0.000 0.000
```

---

Computed relative energies in units of eV/atom: P 0.000; Q 0.041

---

P:
Below is a relaxed Mg3Cd3Pb crystal, with properties calculated at the GGA-PBE level.

Properties
Space-group type ... R-3
Total magnetic moment ... 0.00 μB per cell

Structure (POSCAR):
```
Mg3Cd3Pb
1.0
3.769 2.176 7.615
-3.769 2.176 7.615
0.000 -4.352 7.615
Mg Cd Pb
6 6 2
direct
0.017 0.284 0.499
0.284 0.499 0.017
0.499 0.017 0.284
0.501 0.983 0.716
0.716 0.501 0.983
0.983 0.716 0.501
0.136 0.822 0.647
0.178 0.353 0.864
0.353 0.864 0.178
0.647 0.136 0.822
0.822 0.647 0.136
0.864 0.178 0.353
0.372 0.372 0.372
0.628 0.628 0.628
```

---

Q:
Below is a relaxed Mg3Cd3Pb crystal, with properties calculated at the GGA-PBE level.

Properties
Space-group type ... Pm-3n
Total magnetic moment ... 0.00 μB per cell

Structure (POSCAR):
```
Mg3Cd3Pb
1.0
7.750 0.000 0.000
0.000 7.750 0.000
0.000 0.000 7.750
Mg Cd Pb
6 6 2
direct
0.000 0.250 0.500
0.000 0.750 0.500
0.250 0.500 0.000
0.500 0.000 0.250
0.500 0.000 0.750
0.750 0.500 0.000
0.000 0.500 0.250
0.000 0.500 0.750
0.250 0.000 0.500
0.500 0.250 0.000
0.500 0.750 0.000
0.750 0.000 0.500
0.000 0.000 0.000
0.500 0.500 0.500
```

---

Computed relative energies in units of eV/atom: P 0.000; Q 0.420

---

P:
Below is a relaxed Mg4CdPb crystal, with properties calculated at the GGA-PBE level.

Properties
Space-group type ... P2/m
Total magnetic moment ... 0.00 μB per cell

Structure (POSCAR):
```
Mg4CdPb
1.0
3.717 0.000 0.000
0.000 3.701 0.000
-0.065 0.000 10.339
Mg Cd Pb
4 1 1
direct
0.003 0.000 0.179
0.496 0.500 0.654
0.504 0.500 0.346
0.997 0.000 0.821
0.000 0.000 0.500
0.500 0.500 0.000
```

---

Q:
Below is a relaxed Mg4CdPb crystal, with properties calculated at the GGA-PBE level.

Properties
Space-group type ... F-43m
Total magnetic moment ... 0.00 μB per cell

Structure (POSCAR):
```
Mg4CdPb
1.0
0.000 4.186 4.186
4.186 0.000 4.186
4.186 4.186 0.000
Mg Cd Pb
4 1 1
direct
0.125 0.125 0.125
0.125 0.125 0.624
0.125 0.624 0.125
0.624 0.125 0.125
0.500 0.500 0.500
0.750 0.750 0.750
```

---

R:
Below is a relaxed Mg4CdPb crystal, with properties calculated at the GGA-PBE level.

Properties
Space-group type ... C2/c
Total magnetic moment ... 0.00 μB per cell

Structure (POSCAR):
```
Mg4CdPb
1.0
4.039 -6.484 0.000
4.039 6.484 0.000
-1.898 0.000 5.509
Mg Cd Pb
8 2 2
direct
0.091 0.709 0.950
0.174 0.413 0.624
0.291 0.909 0.550
0.413 0.174 0.124
0.587 0.826 0.876
0.709 0.091 0.450
0.826 0.587 0.376
0.909 0.291 0.050
0.002 0.998 0.250
0.998 0.002 0.750
0.399 0.601 0.250
0.601 0.399 0.750
```

---

Computed relative energies in units of eV/atom: P 0.000; Q 0.087; R 0.005

---

P:
Below is a relaxed Mg8CdPb2 crystal, with properties calculated at the GGA-PBE level.

Properties
Space-group type ... C2/m
Total magnetic moment ... 0.00 μB per cell

Structure (POSCAR):
```
Mg8CdPb2
1.0
8.281 -2.269 0.000
8.281 2.269 0.000
-2.107 0.000 6.975
Mg Cd Pb
8 1 2
direct
0.039 0.039 0.232
0.136 0.136 0.680
0.325 0.325 0.588
0.412 0.412 0.051
0.588 0.588 0.949
0.675 0.675 0.412
0.864 0.864 0.320
0.961 0.961 0.768
0.500 0.500 0.500
0.219 0.219 0.152
0.781 0.781 0.848
```

---

Q:
Below is a relaxed Mg8CdPb2 crystal, with properties calculated at the GGA-PBE level.

Properties
Space-group type ... Immm
Total magnetic moment ... 0.00 μB per cell

Structure (POSCAR):
```
Mg8CdPb2
1.0
-2.323 4.136 7.023
2.323 -4.136 7.023
2.323 4.136 -7.023
Mg Cd Pb
8 1 2
direct
0.098 0.341 0.757
0.159 0.159 0.000
0.264 0.000 0.264
0.416 0.659 0.757
0.584 0.341 0.243
0.736 0.000 0.736
0.841 0.841 0.000
0.902 0.659 0.243
0.000 0.500 0.500
0.327 0.827 0.500
0.673 0.173 0.500
```

---

Computed relative energies in units of eV/atom: P 0.000; Q 0.023